Record 1
The following is a PBE calculation of an optimized crystal structure of SbRu2Rh, from Alexandria.

Lattice parameters (Å, degrees): 2.9395 2.9395 25.6919 90.00 90.00 120.00
Space group R3m (No. 160, hexagonal axes)
Asymmetric unit:
Sb  0.0000  0.0000  0.0000 [3 per cell]
Ru  0.0000  0.0000  0.4977 [3 per cell]
Ru  0.0000  0.0000  0.7524 [3 per cell]
Rh  0.0000  0.0000  0.2504 [3 per cell]

energy	-7.19	eV per atom
theoretical density	11.06	g/cm3
V	192.2	Å³/cell
D(E_F)	3.22	states/eV/f.u.



Record 2
The following is a PBE calculation of an optimized crystal structure of SbRuRh3, from Alexandria.

Lattice parameters (Å, degrees): 4.6854 4.6854 4.6854 90.00 90.00 90.00
Space group Pm-3m (No. 221)
Asymmetric unit:
Sb  0.0000  0.0000  0.0000 [1 per cell]
Ru  0.5000  0.5000  0.5000 [1 per cell]
Rh  0.0000  0.5000  0.5000 [3 per cell]

theoretical density	8.58	g/cm3
V	102.9	Å³/cell
energy relative to the lowest polymorph listed for this composition	0.0000	eV per atom
D(E_F)	6.36	states/eV/f.u.



Record 3
The following is a PBE calculation of an optimized crystal structure of SbRu2Rh, from Alexandria.

Lattice parameters (Å, degrees): 2.9750 2.9750 7.1066 90.00 90.00 90.00
Space group P4/mmm (No. 123)
Asymmetric unit:
Sb  0.0000  0.0000  0.0000 [1 per cell]
Ru  0.5000  0.5000  0.2513 [2 per cell]
Rh  0.0000  0.0000  0.5000 [1 per cell]

energy	-7.20	eV per atom
theoretical density	11.27	g/cm3
V	62.9	Å³/cell
D(E_F)	6.31	states/eV/f.u.



Record 4
The following is a PBE calculation of an optimized crystal structure of SbRu2Rh, from Alexandria.

Lattice parameters (Å, degrees): 2.9222 3.8159 5.6507 90.00 90.00 90.00
Space group Pmm2 (No. 25)
Asymmetric unit:
Sb  0.0000  0.0000  0.0000 [1 per cell]
Ru  0.0000  0.0000  0.5125 [1 per cell]
Ru  0.5000  0.5000  0.7130 [1 per cell]
Rh  0.5000  0.5000  0.2414 [1 per cell]

energy	-7.38	eV per atom
theoretical density	11.25	g/cm3
V	63.0	Å³/cell
D(E_F)	4.15	states/eV/f.u.



Q: Look up the V of the third one.
A: 62.9 Å³/cell



What did the third record say?
The following is a PBE calculation of an optimized crystal structure of SbRu2Rh, from Alexandria.

Lattice parameters (Å, degrees): 2.9750 2.9750 7.1066 90.00 90.00 90.00
Space group P4/mmm (No. 123)
Asymmetric unit:
Sb  0.0000  0.0000  0.0000 [1 per cell]
Ru  0.5000  0.5000  0.2513 [2 per cell]
Rh  0.0000  0.0000  0.5000 [1 per cell]

energy	-7.20	eV per atom
theoretical density	11.27	g/cm3
V	62.9	Å³/cell
D(E_F)	6.31	states/eV/f.u.



Q: Among the records above, which one has the lowest theoretical density?
A: SbRuRh3